PBE Sn4Te5Pd, optimized geometry; space-group type = C2/m, No. 12; calculated total energy = -39.083 eV/cell
1.0
3.120 -3.119 0.000
3.120 3.119 0.000
-3.106 0.000 15.431
Sn Te Pd
4 5 1
direct
0.099 0.099 0.197
0.305 0.305 0.610
0.695 0.695 0.390
0.901 0.901 0.803
0.000 0.000 0.000
0.201 0.201 0.404
0.408 0.408 0.822
0.592 0.592 0.178
0.799 0.799 0.596
0.500 0.500 0.000

PBE Pm2AgHg5, optimized geometry; excess energy over the best structure of this formula in the dataset = 0.040 eV/atom; DFT formation energy = -204 meV/atom; space-group type = R-3m, No. 166
1.0
2.392 1.381 10.978
-2.392 1.381 10.978
0.000 -2.762 10.978
Pm Ag Hg
2 1 5
direct
0.094 0.094 0.094
0.906 0.906 0.906
0.000 0.000 0.000
0.200 0.200 0.200
0.370 0.370 0.370
0.500 0.500 0.500
0.630 0.630 0.630
0.800 0.800 0.800

PBE Zn8Ga5Ag, optimized geometry; DFT formation energy = 63 meV/atom; space-group type = I-4, No. 82
1.0
-3.741 3.741 4.341
3.741 -3.741 4.341
3.741 3.741 -4.341
Zn Ga Ag
8 5 1
direct
0.191 0.429 0.070
0.359 0.121 0.930
0.462 0.196 0.407
0.571 0.641 0.762
0.788 0.054 0.593
0.804 0.212 0.266
0.879 0.809 0.238
0.946 0.538 0.734
0.209 0.263 0.608
0.250 0.750 0.500
0.399 0.791 0.054
0.655 0.601 0.392
0.737 0.345 0.946
0.000 0.000 0.000

PBE Er3AgTe, optimized geometry; space-group type = P2_1/m, No. 11; calculated total energy = -44.541 eV/cell
1.0
8.205 0.000 0.000
0.000 3.915 0.000
-2.199 0.000 8.788
Er Ag Te
6 2 2
direct
0.016 0.250 0.160
0.223 0.750 0.552
0.375 0.750 0.100
0.625 0.250 0.900
0.777 0.250 0.448
0.984 0.750 0.840
0.248 0.250 0.833
0.752 0.750 0.167
0.371 0.250 0.354
0.629 0.750 0.646

PBE BaLiHg3, optimized geometry; excess energy over the best structure of this formula in the dataset = 0.000 eV/atom; DFT formation energy = -384 meV/atom; space-group type = Cm, No. 8
1.0
3.429 -3.450 0.000
3.429 3.450 0.000
-3.310 0.000 5.965
Ba Li Hg
1 1 3
direct
0.000 0.000 0.000
0.369 0.369 0.732
0.258 0.765 0.519
0.589 0.589 0.182
0.765 0.258 0.519

PBE ErTm5Hg2, optimized geometry; DFT formation energy = -155 meV/atom; space-group type = Immm, No. 71
1.0
-1.828 5.008 6.130
1.828 -5.008 6.130
1.828 5.008 -6.130
Er Tm Hg
1 5 2
direct
0.000 0.000 0.000
0.137 0.365 0.772
0.407 0.635 0.772
0.500 0.000 0.500
0.593 0.365 0.228
0.863 0.635 0.228
0.239 0.739 0.500
0.761 0.261 0.500

PBE TlBTe2I, optimized geometry; excess energy over the best structure of this formula in the dataset = 0.922 eV/atom; space-group type = P4/mmm, No. 123
1.0
5.808 0.000 0.000
0.000 5.808 0.000
0.000 0.000 6.116
Tl B Te I
1 1 2 1
direct
0.000 0.000 0.000
0.500 0.500 0.500
0.000 0.500 0.000
0.500 0.000 0.000
0.000 0.000 0.500

PBE KPrCd10, optimized geometry; DFT formation energy = -122 meV/atom; space-group type = Pmmm, No. 47
1.0
4.872 0.000 0.000
0.000 6.059 0.000
0.000 0.000 10.438
K Pr Cd
1 1 10
direct
0.000 0.000 0.000
0.000 0.500 0.500
0.000 0.000 0.333
0.000 0.000 0.667
0.000 0.500 0.168
0.000 0.500 0.832
0.500 0.000 0.500
0.500 0.260 0.266
0.500 0.260 0.734
0.500 0.500 0.000
0.500 0.740 0.266
0.500 0.740 0.734

PBE LaTbGaPt, optimized geometry; excess energy over the best structure of this formula in the dataset = 0.092 eV/atom; DFT formation energy = -781 meV/atom; space-group type = F-43m, No. 216
1.0
0.000 3.647 3.647
3.647 0.000 3.647
3.647 3.647 0.000
La Tb Ga Pt
1 1 1 1
direct
0.000 0.000 0.000
0.500 0.500 0.500
0.750 0.750 0.750
0.250 0.250 0.250

PBE NbRuBr2, optimized geometry; excess energy over the best structure of this formula in the dataset = 0.306 eV/atom; space-group type = Fm-3m, No. 225
1.0
0.000 3.255 3.255
3.255 0.000 3.255
3.255 3.255 0.000
Nb Ru Br
1 1 2
direct
0.000 0.000 0.000
0.500 0.500 0.500
0.250 0.250 0.250
0.750 0.750 0.750

PBE BaBeW2, optimized geometry; DFT formation energy = 1003 meV/atom; space-group type = P2/m, No. 10
1.0
3.439 0.000 0.000
0.000 4.225 0.000
-1.535 0.000 6.492
Ba Be W
1 1 2
direct
0.000 0.000 0.000
0.500 0.000 0.500
0.309 0.500 0.632
0.691 0.500 0.368

PBE Tb6ZnRu2, optimized geometry; excess energy over the best structure of this formula in the dataset = 0.109 eV/atom; DFT formation energy = -193 meV/atom; space-group type = C2/m, No. 12
1.0
4.981 -2.541 0.000
4.981 2.541 0.000
-1.536 0.000 8.939
Tb Zn Ru
6 1 2
direct
0.040 0.040 0.334
0.281 0.281 0.661
0.346 0.346 0.106
0.654 0.654 0.894
0.719 0.719 0.339
0.960 0.960 0.666
0.000 0.000 0.000
0.391 0.391 0.399
0.609 0.609 0.601

| no. | N(E_F) (states/eV/f.u.) | spin magnetization (μB/atom) |
| --- | --- | --- |
| 1 | 3.94 | 0.0000 |
| 2 | 3.83 | 0.0000 |
| 3 | 3.99 | 0.0000 |
| 4 | 4.13 | 0.0000 |
| 5 | 3.77 | 0.0000 |
| 6 | 7.65 | 0.0000 |
| 7 | 8.17 | 0.0002 |
| 8 | 6.77 | 0.0000 |
| 9 | 3.87 | 0.0000 |
| 10 | 4.13 | 0.0000 |
| 11 | 4.65 | 0.0000 |
| 12 | 10.15 | 0.0000 |